1.
Rb2CrSiF6 | PBE+U | relaxed

a = 6.162 Å, b = 6.162 Å, c = 6.162 Å
α = 120.13°, β = 120.13°, γ = 89.78°
Sites, in units of the cell vectors:
1 Rb 0.250 0.750 0.500
2 Rb 0.750 0.250 0.500
3 Cr 0.000 0.000 0.000
4 Si 0.500 0.500 0.000
5 F 0.231 0.231 0.000
6 F 0.256 0.256 0.512
7 F 0.256 0.744 0.000
8 F 0.744 0.256 0.000
9 F 0.744 0.744 0.488
10 F 0.769 0.769 0.000

Output
* DOS at the Fermi energy: 0.00 states/eV/f.u.
* symmetry: I4/mmm
* VASP energy: -50.456 eV/cell


2.
RbCrSi2F | PBE+U | relaxed

a = 4.626 Å, b = 4.626 Å, c = 5.086 Å
α = 90.00°, β = 90.00°, γ = 90.00°
Sites, in units of the cell vectors:
1 Rb 0.000 0.000 0.000
2 Cr 0.500 0.500 0.000
3 Si 0.000 0.500 0.500
4 Si 0.500 0.000 0.500
5 F 0.000 0.000 0.500

Output
* DOS at the Fermi energy: 2.05 states/eV/f.u.
* symmetry: P4/mmm
* VASP energy: -19.828 eV/cell


3.
RbSmCrF6 | PBE+U | relaxed

a = 8.061 Å, b = 8.061 Å, c = 8.061 Å
α = 117.87°, β = 117.75°, γ = 93.84°
Sites, in units of the cell vectors:
1 Rb 0.312 0.062 0.250
2 Rb 0.688 0.938 0.750
3 Sm 0.000 0.500 0.500
4 Sm 0.500 0.500 0.000
5 Cr 0.000 0.000 0.500
6 Cr 0.000 0.500 0.000
7 F 0.047 0.418 0.223
8 F 0.047 0.824 0.629
9 F 0.074 0.824 0.250
10 F 0.305 0.176 0.723
11 F 0.305 0.582 0.129
12 F 0.335 0.585 0.750
13 F 0.665 0.415 0.250
14 F 0.695 0.418 0.871
15 F 0.695 0.824 0.277
16 F 0.926 0.176 0.750
17 F 0.953 0.176 0.371
18 F 0.953 0.582 0.777

Output
* symmetry: Imma
* VASP energy: -106.794 eV/cell


4.
Rb3Cr2SnF9 | PBE+U | relaxed

a = 6.227 Å, b = 6.227 Å, c = 7.719 Å
α = 90.00°, β = 90.00°, γ = 120.00°
Sites, in units of the cell vectors:
1 Rb 0.000 0.000 0.000
2 Rb 0.333 0.667 0.675
3 Rb 0.667 0.333 0.325
4 Cr 0.333 0.667 0.151
5 Cr 0.667 0.333 0.849
6 Sn 0.000 0.000 0.500
7 F 0.000 0.500 0.000
8 F 0.175 0.350 0.314
9 F 0.175 0.825 0.314
10 F 0.350 0.175 0.686
11 F 0.500 0.000 0.000
12 F 0.500 0.500 0.000
13 F 0.650 0.825 0.314
14 F 0.825 0.175 0.686
15 F 0.825 0.650 0.686

Output
* DOS at the Fermi energy: 1.78 states/eV/f.u.
* symmetry: P-3m1
* VASP energy: -76.922 eV/cell


5.
RbCrSnF6 | PBE+U | relaxed

a = 5.284 Å, b = 5.795 Å, c = 5.826 Å
α = 61.05°, β = 88.99°, γ = 89.48°
Sites, in units of the cell vectors:
1 Rb 0.000 0.000 0.000
2 Cr 0.610 0.676 0.640
3 Sn 0.511 0.338 0.359
4 F 0.376 0.867 0.737
5 F 0.411 0.357 0.764
6 F 0.456 0.797 0.300
7 F 0.777 0.530 0.981
8 F 0.810 0.005 0.486
9 F 0.833 0.482 0.507

Output
* DOS at the Fermi energy: 0.00 states/eV/f.u.
* symmetry: P1
* VASP energy: -47.407 eV/cell


6.
RbSr2CrF8 | PBE+U | relaxed

a = 4.585 Å, b = 7.941 Å, c = 5.493 Å
α = 90.00°, β = 97.10°, γ = 90.00°
Sites, in units of the cell vectors:
1 Rb 0.000 0.000 0.000
2 Sr 0.500 0.258 0.500
3 Sr 0.500 0.742 0.500
4 Cr 0.000 0.500 0.000
5 F 0.086 0.319 0.771
6 F 0.086 0.681 0.771
7 F 0.376 0.500 0.214
8 F 0.464 0.000 0.729
9 F 0.536 0.000 0.271
10 F 0.624 0.500 0.786
11 F 0.914 0.319 0.229
12 F 0.914 0.681 0.229

Output
* DOS at the Fermi energy: 0.00 states/eV/f.u.
* symmetry: P2/m
* VASP energy: -66.381 eV/cell


Which formula does entry 3 have?
RbSmCrF6